{
  "formula": "SrMn2Fe",
  "functional": "meta-GGA SCAN",
  "state": "single point on PBEsol structure",
  "cell": [[3.881, 0.000, 0.000], [1.941, 3.361, 0.000], [1.941, 1.120, 5.507]],
  "species": ["Fe", "Mn", "Mn", "Sr"],
  "fractional_positions": [[0.688, 0.688, 0.936], [0.005, 0.005, 0.985], [0.308, 0.308, 0.075], [0.499, 0.499, 0.504]],
  "dos_ef_per_ev_atom": 0.7765,
  "crystal_system": "trigonal",
  "total_magnetization_mub_per_cell": 2.83,
  "formation_energy_ev_per_atom": 0.40
}